# Si2TeP (PBE, optimized geometry)
# Total moment in μB per formula unit: 0.00
# Theoretical density in g cm⁻³: 4.80
# Energy relative to the lowest polymorph listed for this composition in eV/atom: 0.524
# E_form (uncorrected) in meV/atom: 695.5
# DOS at the Fermi energy in states/eV/atom: 0.498
data_Si2TeP
_chemical_formula_sum 'Si2 Te1 P1'
_symmetry_space_group_name_H-M 'P m m m'
_symmetry_Int_Tables_number 47
_cell_length_a 3.342
_cell_length_b 4.523
_cell_length_c 4.911
_cell_angle_alpha 90.00
_cell_angle_beta 90.00
_cell_angle_gamma 90.00
loop_
_symmetry_equiv_pos_as_xyz
'x,y,z'
'-x,-y,-z'
'-x,-y,z'
'x,y,-z'
'x,-y,-z'
'-x,y,z'
'-x,y,-z'
'x,-y,z'
loop_
_atom_site_label
_atom_site_type_symbol
_atom_site_fract_x
_atom_site_fract_y
_atom_site_fract_z
Si1 Si 0.000 0.000 0.000
Si2 Si 0.500 0.500 0.000
Te1 Te 0.000 0.500 0.500
P1 P 0.500 0.000 0.500

# Ho8Ga2Co (PBE, optimized geometry)
# Total moment in μB per formula unit: 0.00
# Raw total energy in eV per atom: -4.77
# Theoretical density in g cm⁻³: 8.93
# DOS at the Fermi energy in states/eV/atom: 0.962
data_Ho8Ga2Co
_chemical_formula_sum 'Ho16 Ga4 Co2'
_symmetry_space_group_name_H-M 'C 1 2/m 1'
_symmetry_Int_Tables_number 12
_cell_length_a 18.000
_cell_length_b 4.904
_cell_length_c 6.532
_cell_angle_alpha 90.00
_cell_angle_beta 101.61
_cell_angle_gamma 90.00
loop_
_symmetry_equiv_pos_as_xyz
'x,y,z'
'-x,-y,-z'
'-x,y,-z'
'x,-y,z'
'x+1/2,y+1/2,z'
'-x+1/2,-y+1/2,-z'
'-x+1/2,y+1/2,-z'
'x+1/2,-y+1/2,z'
loop_
_atom_site_label
_atom_site_type_symbol
_atom_site_fract_x
_atom_site_fract_y
_atom_site_fract_z
Ho1 Ho 0.022 0.000 0.281
Ho2 Ho 0.090 0.500 0.953
Ho3 Ho 0.148 0.500 0.477
Ho4 Ho 0.210 0.000 0.814
Ga1 Ga 0.189 0.000 0.256
Co1 Co 0.000 0.500 0.500

# LiNd2Rh (PBE, optimized geometry)
# Total moment in μB per formula unit: 0.00
# Raw total energy in eV per atom: -5.00
# Theoretical density in g cm⁻³: 6.50
# DOS at the Fermi energy in states/eV/atom: 0.813
data_LiNd2Rh
_chemical_formula_sum 'Li1 Nd2 Rh1'
_symmetry_space_group_name_H-M 'P 4/m m m'
_symmetry_Int_Tables_number 123
_symmetry_space_group_name_Hall '-P 4 2'
_cell_length_a 3.600
_cell_length_b 3.600
_cell_length_c 7.852
_cell_angle_alpha 90.00
_cell_angle_beta 90.00
_cell_angle_gamma 90.00
loop_
_atom_site_label
_atom_site_type_symbol
_atom_site_fract_x
_atom_site_fract_y
_atom_site_fract_z
Li1 Li 0.000 0.000 0.000
Nd1 Nd 0.500 0.500 0.286
Rh1 Rh 0.000 0.000 0.500